Version a
! AlGaF3 | Alexandria via LeMat-Bulk | PBE-GGA | relaxed; values from VASP
&SYSTEM
  ibrav = 0, nat = 5, ntyp = 3
/
ATOMIC_SPECIES
Al 26.98 Al.upf
Ga 69.72 Ga.upf
F 19.00 F.upf
CELL_PARAMETERS angstrom
4.088 0.000 0.000
0.000 4.088 0.000
0.000 0.000 4.088
ATOMIC_POSITIONS crystal
Al 0.000 0.000 0.000
Ga 0.500 0.500 0.500
F 0.000 0.000 0.500
F 0.000 0.500 0.000
F 0.500 0.000 0.000
! Crystal system = cubic
! Magnetic moment = 0.0 μB/cell
! N(E_F) = 0.371 states/eV per atom
! Space group = Pm-3m, No. 221

Version b
! AlGaF3 | Alexandria via LeMat-Bulk | PBE-GGA | relaxed; values from VASP
&SYSTEM
  ibrav = 0, nat = 5, ntyp = 3
/
ATOMIC_SPECIES
Al 26.98 Al.upf
Ga 69.72 Ga.upf
F 19.00 F.upf
CELL_PARAMETERS angstrom
4.268 0.000 0.000
0.000 4.268 0.000
0.000 0.000 4.268
ATOMIC_POSITIONS crystal
Al 0.000 0.000 0.000
Ga 0.500 0.500 0.500
F 0.000 0.500 0.500
F 0.500 0.000 0.500
F 0.500 0.500 0.000
! Crystal system = cubic
! Magnetic moment = 0.0 μB/cell
! N(E_F) = 0.199 states/eV per atom
! Space group = Pm-3m, No. 221

Ranking the structures above by energy, version a is first and the second is 44.6 kJ/mol of atoms behind.